Material: BeInTc3
Method: DFT, GGA-PBE
State: optimized geometry

As for the density of states at the Fermi level: 4.14 states/eV/f.u. As for the excess energy over the best structure of this formula in the dataset: 2063 meV per atom. The density is 5.6 g/cm3. As for the calculated volume: 123.0 Å³ per cell. The formation energy is 13.25 eV per formula unit. Its raw total energy is -4.862 eV/atom. The space group is Pm-3m (221).

Cell: 4.9729 4.9729 4.9729 Å, 90.00 90.00 90.00°
Closest atoms and distances in Å follow each position.
Element x y z (fractional)
Tc 0.0000 0.0000 0.5000  2 In 2.49
Tc 0.5000 0.0000 0.0000  2 In 2.49
In 0.0000 0.0000 0.0000  6 Tc 2.49
Tc 0.0000 0.5000 0.0000  2 In 2.49
Be 0.5000 0.5000 0.5000  12 Tc 3.52